one.
A relaxed LiDy2Tl3 crystal. Source: Alexandria via LeMat-Bulk, functional PBE.

a = 3.4453 Å, b = 28.3942 Å, c = 6.6123 Å
α = 90.00°, β = 90.00°, γ = 90.00°
Last column: nearest neighbours and their distance in Å.
Space group Cmcm (No. 63)
Inequivalent atoms, fractional coordinates:
Li  0.0000  0.1602  0.2500 x4  4 Tl 2.81-2.86
Dy  0.0000  0.3394  0.2500 x4  6 Tl 3.26-3.29, 2 Dy 3.45
Dy  0.0000  0.4955  0.7500 x4  8 Tl 3.26-3.39, 4 Dy 3.32-3.45
Tl  0.0000  0.0813  0.5070 x8  1 Li 2.81
Tl  0.0000  0.2593  0.7500 x4  2 Li 2.86

Values from the calculation:
- Calculated volume: 646.9 Å³/cell


two.
A relaxed LiDy2Tl3 crystal. Source: Alexandria via LeMat-Bulk, functional PBE.

a = 5.2351 Å, b = 5.2351 Å, c = 12.9792 Å
α = 90.00°, β = 90.00°, γ = 120.00°
Last column: nearest neighbours and their distance in Å.
Space group P-3m1 (No. 164)
Inequivalent atoms, fractional coordinates:
Li  0.3333  0.6667  0.1596 x2  8 Tl 3.12-3.25
Dy  0.0000  0.0000  0.0000 x1  8 Tl 3.17-3.20
Dy  0.0000  0.0000  0.5000 x1  8 Tl 3.24-3.32
Dy  0.3333  0.6667  0.6760 x2  8 Tl 3.16-3.45
Tl  0.0000  0.0000  0.2442 x2  5 Dy 3.17-3.32, 3 Li 3.22
Tl  0.3333  0.6667  0.4100 x2  7 Dy 3.22-3.45, 1 Li 3.25
Tl  0.3333  0.6667  0.9196 x2  4 Li 3.12-3.19, 4 Dy 3.16-3.20

Values from the calculation:
- Calculated volume: 308.1 Å³/cell


In meV/atom, relative to the most stable structure: one 137; two 0.